[1]
Here is a relaxed LaErTh2P4 crystal from Alexandria via LeMat-Bulk. Energies are from PBE.

Cell: 7.1395 4.1416 7.1722 Å, 90.00 109.60 90.00°
Fractional coordinates of all 8 atoms:
La (0.0000, 0.0000, 0.0000)
Er (0.0000, 0.5000, 0.5000)
Th (0.5000, 0.0000, 0.5000)
Th (0.5000, 0.5000, 0.0000)
P (0.2471, 0.0000, 0.7422)
P (0.2529, 0.5000, 0.2579)
P (0.7471, 0.5000, 0.7421)
P (0.7529, 0.0000, 0.2578)

Values from the calculation:
E_tot	-58.5	eV for the cell shown
formation energy from the elements	-1563	meV/atom



[2]
Here is a relaxed La3ErTh2P6 crystal from Alexandria via LeMat-Bulk. Energies are from PBE.

Cell: 7.2245 7.2245 7.2602 Å, 99.54 99.54 120.04°
Fractional coordinates of all 12 atoms:
La (0.0000, 0.0000, 0.0000)
La (0.3331, 0.6669, 0.0000)
La (0.6669, 0.3331, 0.0000)
Er (0.5000, 0.5000, 0.5000)
Th (0.1665, 0.8335, 0.5000)
Th (0.8335, 0.1665, 0.5000)
P (0.0915, 0.4210, 0.2629)
P (0.2499, 0.2499, 0.7382)
P (0.4210, 0.0915, 0.2629)
P (0.5790, 0.9085, 0.7371)
P (0.7501, 0.7501, 0.2618)
P (0.9085, 0.5790, 0.7371)

Values from the calculation:
E_tot	-85.8	eV for the cell shown
formation energy from the elements	-1592	meV/atom



[3]
Here is a relaxed La3Er2TmP6 crystal from Alexandria via LeMat-Bulk. Energies are from PBE.

Cell: 7.1374 7.1374 7.1306 Å, 99.60 99.60 120.00°
Fractional coordinates of all 12 atoms:
La (0.0000, 0.0000, 0.0000)
La (0.3332, 0.6668, 0.0000)
La (0.6668, 0.3332, 0.0000)
Er (0.1666, 0.8334, 0.5000)
Er (0.8334, 0.1666, 0.5000)
Tm (0.5000, 0.5000, 0.5000)
P (0.0896, 0.4223, 0.2667)
P (0.2452, 0.2452, 0.7335)
P (0.4223, 0.0896, 0.2667)
P (0.5777, 0.9104, 0.7333)
P (0.7548, 0.7548, 0.2665)
P (0.9104, 0.5777, 0.7333)

Values from the calculation:
E_tot	-79.7	eV for the cell shown
formation energy from the elements	-1573	meV/atom